# V3Ni2Pt2

A relaxed V3Ni2Pt2 crystal (PBE, Alexandria via LeMat-Bulk).

a b c (Å): 3.5091 6.1184 4.7241
angles (deg): 97.90 111.80 90.00
Atoms (fractional coordinates):
V  0.0000  0.0000  0.0000
V  0.2904  0.8396  0.5807
V  0.7096  0.1604  0.4193
Ni  0.1514  0.4233  0.3028
Ni  0.8486  0.5767  0.6972
Pt  0.4274  0.2814  0.8549
Pt  0.5726  0.7186  0.1451

Output
ΔE to the lowest computed polymorph	0.000	eV per atom
energy relative to the elements	-331	meV per atom
DFT total energy	-53.3	eV/cell
volume	13.30	A^3/atom
crystal system	monoclinic
calculated density	11.77	g/cm3